No. 1
Below is a geometry-optimized SrYHfSc2 structure, with properties calculated at the GGA-PBE level.

```
SrYHfSc2
1.0
-1.9448 4.8761 -1.4466
-3.1221 0.1557 4.7224
4.1058 2.4192 2.6347
Sc Sr Y Hf
2 1 1 1
Cartesian
-0.9724 2.4381 -0.7233 Sc
2.0529 1.2096 1.3173 Sc
-0.4806 3.7255 2.9553 Sr
-1.5611 0.0779 2.3612 Y
0.0000 0.0000 0.0000 Hf
```

- SG: P4/mmm (123)



No. 2
Below is a geometry-optimized HfSc2Ta structure, with properties calculated at the GGA-PBE level.

```
HfSc2Ta
1.0
-0.8092 -2.9994 0.1679
1.7674 -2.0010 1.5975
-5.1578 0.2869 9.0951
Sc Hf Ta
2 1 1
Cartesian
-3.7371 -0.2199 6.8887 Sc
-1.0942 -1.1626 2.7839 Sc
0.6281 -3.3298 1.1935 Hf
-2.0962 -2.3580 5.4246 Ta
```

- E above lowest polymorph: 0.00 kJ/mol of atoms
- SG: R3m (160)



Number 1: energy -5.626 eV per atom. Number 2: energy -8.470 eV per atom.